Entry 1:
HoRhPb: optimized geometry, GGA-PBE.

Structure (POSCAR):
```
HoRhPb
1.0
3.395 0.000 0.000
0.000 3.395 0.000
-1.698 -1.698 5.829
Pb Rh Ho
1 1 1
Cartesian
0.000 0.000 3.538
1.698 1.698 5.289
1.698 1.698 1.083
```

Calculated values
For the total moment, the calculation gives 0.00 μB per formula unit. As for the energy of formation from the pure elements: -0.460 eV/atom. The total energy is -0.2085 hartree per atom. The volume is 67 Å³/cell. The crystal system is tetragonal.

=====

Entry 2:
Al2GaTc: optimized geometry, GGA-PBE.

Structure (POSCAR):
```
Al2GaTc
1.0
-0.109 2.302 1.835
-2.308 0.343 1.798
3.184 -3.709 7.208
Al Ga Tc
2 1 1
Cartesian
2.276 -2.664 5.843
0.107 -0.168 2.582
0.374 -0.522 5.407
-1.607 1.758 2.429
```

Calculated values
For the total moment, the calculation gives 0.00 μB per formula unit. As for the energy of formation from the pure elements: -0.089 eV/atom. The total energy is -0.1951 hartree per atom. The volume is 64 Å³/cell. The crystal system is trigonal.

=====

Entry 3:
Sm3Sb5S12: optimized geometry, GGA-PBE.

Structure (POSCAR):
```
Sm3Sb5S12
1.0
14.081 0.000 0.000
-4.694 13.276 0.000
-4.694 -6.638 11.497
Sm Sb S
12 20 48
Cartesian
8.214 4.149 1.437
8.214 9.127 1.437
-1.173 5.808 7.186
1.173 -0.830 4.311
10.561 0.000 2.874
1.173 6.638 2.874
3.520 0.000 8.623
-5.867 6.638 8.623
3.520 7.468 7.186
5.867 0.830 4.311
-3.520 -2.489 10.060
-3.520 2.489 10.060
-1.173 3.319 2.874
-2.347 6.638 0.000
0.000 0.000 0.000
3.520 2.489 1.437
4.694 -3.319 5.749
4.694 6.638 0.000
-3.520 7.468 4.311
5.867 -4.149 10.060
5.867 5.808 4.311
1.173 -3.319 8.623
3.520 9.957 2.874
2.347 3.319 5.749
7.041 0.000 0.000
-2.347 -3.319 5.749
-1.173 0.830 7.186
-1.173 10.787 1.437
-4.694 3.319 5.749
8.214 -0.830 7.186
1.173 4.149 10.060
5.867 3.319 8.623
9.270 1.477 0.586
0.118 4.565 4.763
10.348 2.970 3.209
6.080 2.025 1.572
1.698 5.123 7.702
9.817 6.649 1.954
-0.961 7.583 4.781
-3.733 11.251 1.572
0.649 8.152 7.702
6.611 6.627 1.954
7.158 3.550 4.177
7.158 11.799 0.586
-4.044 5.913 6.335
2.776 4.941 0.968
-4.811 9.726 4.177
2.464 -2.073 6.735
-0.649 0.790 2.540
2.776 8.325 0.986
6.080 10.306 3.209
-0.429 4.951 0.986
-2.996 7.428 8.958
3.308 5.693 4.781
6.391 7.363 6.335
5.123 -1.697 10.530
1.386 0.945 6.716
-1.698 -0.725 5.163
-0.429 8.335 0.968
-1.386 -3.668 8.288
7.690 -0.790 2.540
5.123 1.687 10.511
1.918 -1.687 10.511
2.229 8.711 4.763
5.343 5.848 8.958
9.505 -3.088 7.321
8.738 0.725 5.163
-2.464 -5.161 10.911
1.918 1.697 10.530
4.044 -1.515 3.795
-1.918 0.011 9.544
-2.464 3.088 7.321
8.427 -4.613 9.925
5.655 -0.945 6.716
-1.386 4.613 9.925
-5.123 -0.011 9.544
2.996 1.515 3.795
-5.655 3.668 8.288
4.576 2.073 6.735
-4.576 5.161 10.911
```

Calculated values
For the total moment, the calculation gives 0.00 μB per formula unit. The total energy is -0.1828 hartree per atom. The volume is 2149 Å³/cell. The crystal system is cubic.

=====

Entry 4:
BaNaP2: optimized geometry, GGA-PBE.

Structure (POSCAR):
```
BaNaP2
1.0
4.225 0.000 0.000
0.000 8.655 0.000
0.000 0.000 11.119
Ba Na P
4 4 8
Cartesian
3.169 7.612 1.468
1.056 1.044 9.651
3.169 3.284 4.091
1.056 5.371 7.028
1.056 4.383 1.230
1.056 0.056 4.330
3.169 4.272 9.889
3.169 8.599 6.789
3.169 7.073 9.219
1.056 1.582 1.900
3.169 2.746 7.459
1.056 5.909 3.660
3.169 6.564 4.583
1.056 6.418 10.142
3.169 2.237 0.977
1.056 2.091 6.536
```

Calculated values
For the total moment, the calculation gives 0.00 μB per formula unit. As for the energy of formation from the pure elements: -0.633 eV/atom. The total energy is -0.1525 hartree per atom. The volume is 407 Å³/cell. The calculation puts the relative energy among the computed polymorphs at 0.000 eV per atom. The crystal system is orthorhombic.

=====

Entry 5:
HoIn2Ag2: optimized geometry, GGA-PBE.

Structure (POSCAR):
```
HoIn2Ag2
1.0
-2.637 2.119 3.685
-1.980 -0.413 -4.575
-2.261 -5.358 1.462
Ho In Ag
1 2 2
Cartesian
-2.199 0.431 -1.822
-3.330 -2.248 -1.091
-2.418 1.275 0.932
-0.562 -1.331 0.363
-1.699 -4.026 1.099
```

Calculated values
For the total moment, the calculation gives 0.00 μB per formula unit. As for the energy of formation from the pure elements: 0.049 eV/atom. The total energy is -0.1140 hartree per atom. The volume is 130 Å³/cell. The crystal system is hexagonal.

=====

Entry 6:
AsOsNF2: optimized geometry, GGA-PBE.

Structure (POSCAR):
```
AsOsNF2
1.0
4.304 0.000 0.000
0.000 4.304 0.000
0.000 0.000 3.759
As N Os F
1 1 1 2
Cartesian
2.152 2.152 1.880
0.000 0.000 1.880
0.000 0.000 0.000
0.000 2.152 0.000
2.152 0.000 0.000
```

Calculated values
For the total moment, the calculation gives 0.60 μB per formula unit. The total energy is -0.1996 hartree per atom. The volume is 70 Å³/cell. The calculation puts the relative energy among the computed polymorphs at 0.000 eV per atom. The crystal system is tetragonal.

=====

Entry 7:
BaB2Cl: optimized geometry, GGA-PBE.

Structure (POSCAR):
```
BaB2Cl
1.0
4.051 -2.212 1.741
2.551 2.069 3.680
-0.044 -2.048 4.488
B Ba Cl
2 1 1
Cartesian
1.640 -0.548 2.477
4.919 -1.643 7.432
3.279 -1.095 4.955
0.000 0.000 0.000
```

Calculated values
For the total moment, the calculation gives 0.00 μB per formula unit. The total energy is -0.1080 hartree per atom. The volume is 85 Å³/cell. The calculation puts the relative energy among the computed polymorphs at 0.073 eV per atom. The crystal system is cubic.

=====

Entry 8:
CdBi2Pb2: optimized geometry, GGA-PBE.

Structure (POSCAR):
```
CdBi2Pb2
1.0
8.896 0.000 0.000
0.000 8.896 0.000
0.000 0.000 4.134
Pb Bi Cd
4 4 2
Cartesian
1.323 5.771 2.067
5.771 7.573 2.067
7.573 3.125 2.067
3.125 1.323 2.067
3.135 7.583 0.000
7.583 5.761 0.000
5.761 1.313 0.000
1.313 3.135 0.000
0.000 0.000 0.000
4.448 4.448 0.000
```

Calculated values
For the total moment, the calculation gives 0.00 μB per formula unit. As for the energy of formation from the pure elements: 0.121 eV/atom. The total energy is -0.1138 hartree per atom. The volume is 327 Å³/cell. The calculation puts the relative energy among the computed polymorphs at 0.077 eV per atom. The crystal system is tetragonal.

=====

Entry 9:
Ca3Ce2HoTe6: optimized geometry, GGA-PBE.

Structure (POSCAR):
```
Ca3Ce2HoTe6
1.0
4.435 0.000 0.000
0.000 9.041 0.217
-2.218 -2.715 9.437
Ca Ce Ho Te
3 2 1 6
Cartesian
2.218 4.520 0.108
2.218 -0.311 6.300
0.000 6.636 3.353
2.218 4.192 6.404
0.000 2.133 3.250
2.218 0.000 0.000
0.000 6.505 6.547
2.218 4.431 3.223
2.218 -0.179 3.107
2.218 -0.518 9.466
0.000 6.843 0.188
0.000 1.895 6.431
```

Calculated values
For the total moment, the calculation gives 2.89 μB per formula unit. The total energy is -0.1798 hartree per atom. The volume is 381 Å³/cell. The crystal system is monoclinic.

=====

Entry 10:
Sr2NpGe3Au12: optimized geometry, GGA-PBE.

Structure (POSCAR):
```
Sr2NpGe3Au12
1.0
-3.261 7.241 -1.385
-8.032 -0.682 -0.050
-2.947 2.938 6.904
Sr Np Ge Au
2 1 3 12
Cartesian
-8.536 5.693 3.279
-5.705 3.804 2.191
0.000 0.000 0.000
-1.630 3.621 -0.692
-4.016 -0.341 -0.025
-1.474 1.469 3.452
-5.960 4.492 5.363
-10.681 6.668 1.402
-10.534 4.655 5.279
-6.127 6.784 0.949
-8.302 8.361 4.655
-8.667 2.565 1.660
-8.281 5.005 0.107
-3.560 2.829 4.067
-3.707 4.842 0.190
-8.113 2.713 4.521
-5.938 1.136 0.814
-5.573 6.932 3.810
```

Calculated values
For the total moment, the calculation gives 4.43 μB per formula unit. As for the energy of formation from the pure elements: -0.034 eV/atom. The total energy is -0.1431 hartree per atom. The volume is 453 Å³/cell. The crystal system is trigonal.

=====

Entry 11:
CrReOs: optimized geometry, GGA-PBE.

Structure (POSCAR):
```
CrReOs
1.0
-1.972 5.502 -1.169
-4.969 3.113 -1.073
3.270 -3.980 2.999
Cr Os Re
1 1 1
Cartesian
-6.914 8.582 -2.234
-2.361 2.930 -0.763
-4.607 5.718 -1.488
```

Calculated values
For the total moment, the calculation gives 0.00 μB per formula unit. As for the energy of formation from the pure elements: 0.125 eV/atom. The total energy is -0.4034 hartree per atom. The volume is 41 Å³/cell. The calculation puts the relative energy among the computed polymorphs at 0.049 eV per atom. The crystal system is tetragonal.

=====

Entry 12:
La2YPb: optimized geometry, GGA-PBE.

Structure (POSCAR):
```
La2YPb
1.0
-7.415 -8.660 -2.671
-4.618 -10.681 -1.305
-7.146 -9.223 0.987
La Pb Y
2 1 1
Cartesian
-19.130 -28.490 -2.981
-9.638 -14.354 -1.502
-4.795 -7.141 -0.747
-14.384 -21.422 -2.242
```

Calculated values
For the total moment, the calculation gives 0.00 μB per formula unit. As for the energy of formation from the pure elements: -0.121 eV/atom. The total energy is -0.1884 hartree per atom. The volume is 137 Å³/cell. The crystal system is trigonal.

=====

Entry 13:
BeCd2Si: optimized geometry, GGA-PBE.

Structure (POSCAR):
```
BeCd2Si
1.0
5.088 0.016 0.000
1.742 4.781 0.000
-3.415 -2.399 2.911
Be Si Cd
1 1 2
Cartesian
2.544 0.008 1.456
0.871 2.390 1.456
0.000 0.000 0.000
3.415 2.399 0.000
```

Calculated values
For the total moment, the calculation gives 0.00 μB per formula unit. The total energy is -0.0805 hartree per atom. The volume is 71 Å³/cell. The calculation puts the relative energy among the computed polymorphs at 0.270 eV per atom. The crystal system is tetragonal.

=====

Entry 14:
BaIn3Bi: optimized geometry, GGA-PBE.

Structure (POSCAR):
```
BaIn3Bi
1.0
5.912 0.000 0.000
0.000 5.912 0.000
0.000 0.000 5.912
In Bi Ba
3 1 1
Cartesian
0.000 2.956 0.000
0.000 0.000 2.956
2.956 0.000 0.000
0.000 0.000 0.000
2.956 2.956 2.956
```

Calculated values
For the total moment, the calculation gives 0.00 μB per formula unit. As for the energy of formation from the pure elements: 0.150 eV/atom. The total energy is -0.0975 hartree per atom. The volume is 207 Å³/cell. The calculation puts the relative energy among the computed polymorphs at 0.460 eV per atom. The crystal system is cubic.

=====

Entry 15:
CePuC: optimized geometry, GGA-PBE.

Structure (POSCAR):
```
CePuC
1.0
-2.017 2.436 -1.480
-0.351 -3.351 -0.917
-3.401 -0.629 3.600
C Ce Pu
1 1 1
Cartesian
-3.128 -1.833 1.247
-3.279 -0.606 3.471
-2.763 0.266 0.085
```

Calculated values
For the total moment, the calculation gives 5.01 μB per formula unit. As for the energy of formation from the pure elements: -0.067 eV/atom. The total energy is -0.3637 hartree per atom. The volume is 53 Å³/cell. The calculation puts the relative energy among the computed polymorphs at 0.000 eV per atom. The crystal system is trigonal.

=====

Entry 16:
HgPdPt2: optimized geometry, GGA-PBE.

Structure (POSCAR):
```
HgPdPt2
1.0
2.877 0.000 0.000
0.000 2.877 0.000
0.000 0.000 8.096
Pd Hg Pt
1 1 2
Cartesian
1.438 1.438 0.000
1.438 1.438 4.048
0.000 0.000 6.165
0.000 0.000 1.931
```

Calculated values
For the total moment, the calculation gives 0.00 μB per formula unit. As for the energy of formation from the pure elements: 0.028 eV/atom. The total energy is -0.1605 hartree per atom. The volume is 67 Å³/cell. The crystal system is tetragonal.

=====

Entry 17:
Cs2Ga2Cl7: optimized geometry, GGA-PBE.

Structure (POSCAR):
```
Cs2Ga2Cl7
1.0
-4.116 3.812 -2.941
-4.766 -7.125 1.087
-5.148 5.662 14.544
Cs Ga Cl
4 4 14
Cartesian
-7.907 -3.451 1.351
-7.489 1.118 9.006
-6.123 5.800 11.338
-6.542 1.231 3.683
-10.978 3.728 11.320
-3.052 -1.379 1.370
-7.082 5.626 6.501
-6.949 -3.277 6.188
-2.574 2.831 7.272
-2.383 -3.563 0.543
-1.987 0.280 0.209
-7.652 3.423 6.265
-12.043 2.069 12.481
-6.378 -1.074 6.425
-4.715 2.656 10.631
-7.427 -0.544 12.105
-6.604 2.893 0.585
-9.316 -0.307 2.058
-10.043 -1.351 8.940
-8.746 3.406 11.464
-5.284 -1.057 1.225
-3.987 3.699 3.750
```

Calculated values
For the total moment, the calculation gives 1.00 μB per formula unit. The total energy is -0.1200 hartree per atom. The volume is 882 Å³/cell. The crystal system is monoclinic.